# 1
Entry from Alexandria via LeMat-Bulk: crystalline AcSm6Ho2 at its relaxed geometry (PBE).

Properties
energy relative to the elements: 6.8 kJ per mole of atoms
volume: 34.8 Å³ per atom

abc: 3.6585 3.6585 27.0206
angles: 90.00 90.00 120.00
With the nearest neighbours (Å) after each atom.
Element x y z (fractional)
Ac 0.0000 0.0000 0.0000  6 Ac 3.66, 6 Sm 3.81
Sm 0.0000 0.0000 0.2249  3 Ho 3.58, 9 Sm 3.59-3.66
Sm 0.0000 0.0000 0.4346  3 Ho 3.49, 7 Sm 3.54-3.66
Sm 0.0000 0.0000 0.5654  3 Ho 3.49, 7 Sm 3.54-3.66
Sm 0.0000 0.0000 0.7751  3 Ho 3.58, 9 Sm 3.59-3.66
Sm 0.3333 0.6667 0.1174  9 Sm 3.59-3.66, 3 Ac 3.81
Sm 0.3333 0.6667 0.8826  9 Sm 3.59-3.66, 3 Ac 3.81
Ho 0.3333 0.6667 0.3320  6 Sm 3.49-3.58, 6 Ho 3.66
Ho 0.3333 0.6667 0.6680  6 Sm 3.49-3.58, 6 Ho 3.66



# 2
Entry from Alexandria via LeMat-Bulk: crystalline Rb2ErInCl6 at its relaxed geometry (PBE).

Properties
volume: 34.3 Å³ per atom
ΔE_f (raw): -1.9082 eV/atom

abc: 7.6839 8.1068 13.3866
angles: 90.00 124.55 90.00
With the nearest neighbours (Å) after each atom.
Element x y z (fractional)
Rb 0.2247 0.0684 0.2483  6 Cl 3.33-3.60
Rb 0.2247 0.4316 0.7483  6 Cl 3.33-3.60
Rb 0.7753 0.5684 0.2517  6 Cl 3.33-3.60
Rb 0.7753 0.9316 0.7517  6 Cl 3.33-3.60
Er 0.5000 0.0000 0.0000  6 Cl 2.63-2.64
Er 0.5000 0.5000 0.5000  6 Cl 2.63-2.64
In 0.0000 0.0000 0.5000  6 Cl 3.16-3.21
In 0.0000 0.5000 0.0000  6 Cl 3.16-3.21
Cl 0.1738 0.1782 0.9509  1 Er 2.63
Cl 0.1738 0.3218 0.4509  1 Er 2.63
Cl 0.2689 0.7298 0.9392  1 Er 2.64
Cl 0.2689 0.7702 0.4392  1 Er 2.64
Cl 0.3812 0.0387 0.7745  1 Er 2.63
Cl 0.3812 0.4613 0.2745  1 Er 2.63
Cl 0.6188 0.5387 0.7255  1 Er 2.63
Cl 0.6188 0.9613 0.2255  1 Er 2.63
Cl 0.7311 0.2298 0.5608  1 Er 2.64
Cl 0.7311 0.2702 0.0608  1 Er 2.64
Cl 0.8262 0.6782 0.5491  1 Er 2.63
Cl 0.8262 0.8218 0.0491  1 Er 2.63



# 3
Entry from Alexandria via LeMat-Bulk: crystalline NaTl2Pd2 at its relaxed geometry (PBE).

Properties
energy relative to the elements: -13.0 kJ per mole of atoms
volume: 23.4 Å³ per atom
excess energy over the best structure of this formula in the dataset: 64 meV/atom

abc: 4.1797 4.1797 13.3728
angles: 90.00 90.00 90.00
With the nearest neighbours (Å) after each atom.
Element x y z (fractional)
Na 0.0000 0.0000 0.0000  8 Tl 3.33
Na 0.5000 0.5000 0.5000  8 Tl 3.33
Tl 0.0000 0.0000 0.3850  4 Pd 2.76, 1 Tl 3.08
Tl 0.0000 0.0000 0.6150  4 Pd 2.76, 1 Tl 3.08
Tl 0.5000 0.5000 0.1150  4 Pd 2.76, 1 Tl 3.08
Tl 0.5000 0.5000 0.8850  4 Pd 2.76, 1 Tl 3.08
Pd 0.0000 0.5000 0.2500  4 Tl 2.76, 4 Pd 2.96
Pd 0.0000 0.5000 0.7500  4 Tl 2.76, 4 Pd 2.96
Pd 0.5000 0.0000 0.2500  4 Tl 2.76, 4 Pd 2.96
Pd 0.5000 0.0000 0.7500  4 Tl 2.76, 4 Pd 2.96